No. 1
DFT (GGA-PBE) results for crystalline SrSm8Y6 at its relaxed geometry.

abc: 9.7889 9.7889 18.2974
angles: 90.00 90.00 120.00
Space group R-3 (No. 148, hexagonal axes)
Symmetry-distinct sites (fractional):
Sr 0.0000 0.0000 0.0000 [3 per cell]
Sm 0.0000 0.0000 0.2380 [6 per cell]
Sm 0.0472 0.7618 0.9007 [18 per cell]
Y 0.0247 0.7909 0.4092 [18 per cell]

Output
VASP energy   -5.01 eV per atom
Calculated volume   33.742 Å³ per atom
Energy of formation   3.0 eV per formula unit

---

No. 2
DFT (GGA-PBE) results for crystalline CaAl3O at its relaxed geometry.

abc: 4.480 4.480 4.480
angles: 90.00 90.00 90.00
Space group Pm-3m (No. 221)
Symmetry-distinct sites (fractional):
Ca 0.000 0.000 0.000 [1 per cell]
Al 0.000 0.500 0.500 [3 per cell]
O 0.500 0.500 0.500 [1 per cell]

Output
Polymorph energy (0 for the lowest one)   0 meV/atom
VASP energy   -4.02 eV per atom
Calculated volume   17.987 Å³ per atom

---

No. 3
DFT (GGA-PBE) results for crystalline LaMnCo2 at its relaxed geometry.

abc: 6.421 6.421 6.421
angles: 90.00 90.00 90.00
Space group Fm-3m (No. 225)
Symmetry-distinct sites (fractional):
La 0.000 0.000 0.000 [4 per cell]
Mn 0.000 0.000 0.500 [4 per cell]
Co 0.250 0.250 0.250 [8 per cell]

Output
VASP energy   -6.83 eV per atom
Calculated volume   16.545 Å³ per atom
Energy of formation   1.0 eV per formula unit

---

No. 4
DFT (GGA-PBE) results for crystalline NdHo2In at its relaxed geometry.

abc: 3.6078 3.6078 32.7598
angles: 90.00 90.00 120.00
Space group R3m (No. 160, hexagonal axes)
Symmetry-distinct sites (fractional):
Nd 0.0000 0.0000 0.0000 [3 per cell]
Ho 0.0000 0.0000 0.5766 [3 per cell]
Ho 0.0000 0.0000 0.7571 [3 per cell]
In 0.0000 0.0000 0.1665 [3 per cell]

Output
Polymorph energy (0 for the lowest one)   129 meV/atom
VASP energy   -4.30 eV per atom
Calculated volume   30.773 Å³ per atom
Energy of formation   -0.5 eV per formula unit

---

No. 5
DFT (GGA-PBE) results for crystalline SiMoBr2 at its relaxed geometry.

abc: 4.343 4.343 8.034
angles: 90.00 90.00 90.00
Space group I-4m2 (No. 119)
Symmetry-distinct sites (fractional):
Si 0.000 0.000 0.000 [2 per cell]
Mo 0.000 0.500 0.250 [2 per cell]
Br 0.000 0.000 0.500 [2 per cell]
Br 0.000 0.500 0.750 [2 per cell]

Output
Polymorph energy (0 for the lowest one)   979 meV/atom
VASP energy   -3.94 eV per atom
Calculated volume   18.940 Å³ per atom

---

No. 6
DFT (GGA-PBE) results for crystalline Pa2HgBi7 at its relaxed geometry.

abc: 10.962 12.934 6.101
angles: 90.00 90.00 90.00
Space group Cmmm (No. 65)
Symmetry-distinct sites (fractional):
Pa 0.000 0.237 0.000 [4 per cell]
Hg 0.000 0.500 0.500 [2 per cell]
Bi 0.000 0.000 0.000 [2 per cell]
Bi 0.000 0.277 0.500 [4 per cell]
Bi 0.236 0.376 0.000 [8 per cell]

Output
VASP energy   -4.36 eV per atom
Calculated volume   43.252 Å³ per atom
Energy of formation   2.9 eV per formula unit

---

No. 7
DFT (GGA-PBE) results for crystalline TbSmDyTh at its relaxed geometry.

abc: 3.579 3.579 10.130
angles: 90.00 90.00 90.00
Space group P4mm (No. 99)
Symmetry-distinct sites (fractional):
Tb 0.000 0.000 0.000 [1 per cell]
Sm 0.500 0.500 0.741 [1 per cell]
Dy 0.000 0.000 0.484 [1 per cell]
Th 0.500 0.500 0.243 [1 per cell]

Output
Polymorph energy (0 for the lowest one)   0 meV/atom
VASP energy   -5.32 eV per atom
Calculated volume   32.438 Å³ per atom
Energy of formation   0.1 eV per formula unit

---

No. 8
DFT (GGA-PBE) results for crystalline SrNbH2 at its relaxed geometry.

abc: 5.554 5.554 7.782
angles: 90.00 90.00 90.00
Space group I-42d (No. 122)
Symmetry-distinct sites (fractional):
Sr 0.000 0.000 0.000 [4 per cell]
Nb 0.000 0.000 0.500 [4 per cell]
H 0.167 0.250 0.625 [8 per cell]

Output
Polymorph energy (0 for the lowest one)   0 meV/atom
VASP energy   -4.55 eV per atom
Calculated volume   15.002 Å³ per atom